[1]
The following is a DFT calculation (PBE-GGA) of a relaxed structure of VMoPtRh.

SG = No. 47
density of states at the Fermi level = 0.48 states/eV per atom
crystal system = orthorhombic
E_form = -385.4 meV per atom

Cell: 3.8738 3.8306 3.9254 Å, 90.00 90.00 90.00°
Closest atoms and distances in Å follow each position.
Sites, in units of the cell vectors:
V (0.0000, 0.5000, 0.5000)  4 Mo 2.72, 4 Pt 2.74, 4 Rh 2.76
Mo (0.5000, 0.0000, 0.5000)  4 V 2.72, 4 Rh 2.74, 4 Pt 2.76
Pt (0.0000, 0.0000, 0.0000)  4 Rh 2.72, 4 V 2.74, 4 Mo 2.76
Rh (0.5000, 0.5000, 0.0000)  4 Pt 2.72, 4 Mo 2.74, 4 V 2.76

[2]
The following is a DFT calculation (PBE-GGA) of a relaxed structure of V2MoPtRh5.

SG = No. 140
density of states at the Fermi level = 1.27 states/eV per atom
crystal system = tetragonal
E_form = 150.4 meV per atom

Cell: 7.0332 7.0332 7.4239 Å, 118.27 118.27 90.00°
Closest atoms and distances in Å follow each position.
Sites, in units of the cell vectors:
V (0.1095, 0.3905, 0.0000)  1 V 2.18, 2 Rh 2.24
V (0.6095, 0.1095, 0.0000)  1 V 2.18, 2 Rh 2.24
V (0.3905, 0.8905, 0.0000)  1 V 2.18, 2 Rh 2.24
V (0.8905, 0.6095, 0.0000)  1 V 2.18, 2 Rh 2.24
Mo (0.2500, 0.2500, 0.5000)  10 Rh 2.76-2.83
Mo (0.7500, 0.7500, 0.5000)  10 Rh 2.76-2.83
Pt (0.2500, 0.7500, 0.5000)  4 Rh 2.53
Pt (0.7500, 0.2500, 0.5000)  4 Rh 2.53
Rh (0.9130, 0.4130, 0.2604)  1 V 2.24
Rh (0.6526, 0.1526, 0.7396)  1 V 2.24
Rh (0.0870, 0.5870, 0.7396)  1 V 2.24
Rh (0.1526, 0.0870, 0.7396)  1 V 2.24
Rh (0.5870, 0.6526, 0.7396)  1 V 2.24
Rh (0.8474, 0.9130, 0.2604)  1 V 2.24
Rh (0.4130, 0.3474, 0.2604)  1 V 2.24
Rh (0.3474, 0.8474, 0.2604)  1 V 2.24
Rh (0.5000, 0.5000, 0.0000)  2 Mo 2.76, 4 V 2.85, 8 Rh 2.89
Rh (0.0000, 0.0000, 0.0000)  2 Mo 2.76, 4 V 2.85, 8 Rh 2.89

[3]
The following is a DFT calculation (PBE-GGA) of a relaxed structure of VMo2PtRh5.

SG = No. 140
density of states at the Fermi level = 1.35 states/eV per atom
crystal system = tetragonal
E_form = 355.6 meV per atom

Cell: 7.3220 7.3220 7.5152 Å, 119.15 119.15 90.00°
Closest atoms and distances in Å follow each position.
Sites, in units of the cell vectors:
V (0.2500, 0.2500, 0.5000)  10 Rh 2.72-2.92
V (0.7500, 0.7500, 0.5000)  10 Rh 2.72-2.92
Mo (0.1125, 0.3875, 0.0000)  1 Mo 2.33, 2 Rh 2.35
Mo (0.6125, 0.1125, 0.0000)  1 Mo 2.33, 2 Rh 2.35
Mo (0.3875, 0.8875, 0.0000)  1 Mo 2.33, 2 Rh 2.35
Mo (0.8875, 0.6125, 0.0000)  1 Mo 2.33, 2 Rh 2.35
Pt (0.2500, 0.7500, 0.5000)  4 Rh 2.52
Pt (0.7500, 0.2500, 0.5000)  4 Rh 2.52
Rh (0.9235, 0.4235, 0.2659)  1 Mo 2.35, 1 Pt 2.52
Rh (0.6576, 0.1576, 0.7341)  1 Mo 2.35, 1 Pt 2.52
Rh (0.0765, 0.5765, 0.7341)  1 Mo 2.35, 1 Pt 2.52
Rh (0.1576, 0.0765, 0.7341)  1 Mo 2.35, 1 Pt 2.52
Rh (0.5765, 0.6576, 0.7341)  1 Mo 2.35, 1 Pt 2.52
Rh (0.8424, 0.9235, 0.2659)  1 Mo 2.35, 1 Pt 2.52
Rh (0.4235, 0.3424, 0.2659)  1 Mo 2.35, 1 Pt 2.52
Rh (0.3424, 0.8424, 0.2659)  1 Mo 2.35, 1 Pt 2.52
Rh (0.5000, 0.5000, 0.0000)  2 V 2.72, 4 Mo 2.95, 8 Rh 3.00
Rh (0.0000, 0.0000, 0.0000)  2 V 2.72, 4 Mo 2.95, 8 Rh 3.00

[4]
The following is a DFT calculation (PBE-GGA) of a relaxed structure of Mo2PtRh5W.

SG = No. 140
density of states at the Fermi level = 1.14 states/eV per atom
crystal system = tetragonal
E_form = 389.9 meV per atom

Cell: 6.2960 6.2960 8.6050 Å, 111.46 111.46 90.00°
Closest atoms and distances in Å follow each position.
Sites, in units of the cell vectors:
Mo (0.1301, 0.3699, 0.0000)  1 Mo 2.32, 4 Rh 2.45-2.47
Mo (0.6301, 0.1301, 0.0000)  1 Mo 2.32, 4 Rh 2.45-2.47
Mo (0.3699, 0.8699, 0.0000)  1 Mo 2.32, 4 Rh 2.45-2.47
Mo (0.8699, 0.6301, 0.0000)  1 Mo 2.32, 4 Rh 2.45-2.47
Pt (0.2500, 0.7500, 0.5000)  8 Rh 2.60-2.84
Pt (0.7500, 0.2500, 0.5000)  8 Rh 2.60-2.84
Rh (0.9106, 0.4106, 0.2883)  1 Mo 2.45, 1 Pt 2.60, 2 W 2.72
Rh (0.6223, 0.1223, 0.7117)  1 Mo 2.45, 1 Pt 2.60, 2 W 2.72
Rh (0.0894, 0.5894, 0.7117)  1 Mo 2.45, 1 Pt 2.60, 2 W 2.72
Rh (0.1223, 0.0894, 0.7117)  1 Mo 2.45, 1 Pt 2.60, 2 W 2.72
Rh (0.5894, 0.6223, 0.7117)  1 Mo 2.45, 1 Pt 2.60, 2 W 2.72
Rh (0.8777, 0.9106, 0.2883)  1 Mo 2.45, 1 Pt 2.60, 2 W 2.72
Rh (0.4106, 0.3777, 0.2883)  1 Mo 2.45, 1 Pt 2.60, 2 W 2.72
Rh (0.3777, 0.8777, 0.2883)  1 Mo 2.45, 1 Pt 2.60, 2 W 2.72
Rh (0.5000, 0.5000, 0.0000)  4 Mo 2.47
Rh (0.0000, 0.0000, 0.0000)  4 Mo 2.47
W (0.2500, 0.2500, 0.5000)  8 Rh 2.72
W (0.7500, 0.7500, 0.5000)  8 Rh 2.72

[5]
The following is a DFT calculation (PBE-GGA) of a relaxed structure of MoPtRhW.

SG = No. 47
density of states at the Fermi level = 0.65 states/eV per atom
crystal system = orthorhombic
E_form = -235.8 meV per atom

Cell: 3.8649 3.8732 4.0615 Å, 90.00 90.00 90.00°
Closest atoms and distances in Å follow each position.
Sites, in units of the cell vectors:
Mo (0.5000, 0.0000, 0.5000)  4 W 2.74, 4 Pt 2.80, 4 Rh 2.81
Pt (0.0000, 0.0000, 0.0000)  4 Rh 2.74, 4 Mo 2.80, 4 W 2.81
Rh (0.5000, 0.5000, 0.0000)  4 Pt 2.74, 4 W 2.80, 4 Mo 2.81
W (0.0000, 0.5000, 0.5000)  4 Mo 2.74, 4 Rh 2.80, 4 Pt 2.81

[6]
The following is a DFT calculation (PBE-GGA) of a relaxed structure of MoPt2Rh8W.

SG = No. 119
density of states at the Fermi level = 1.51 states/eV per atom
crystal system = tetragonal
E_form = 1010.2 meV per atom

Cell: 6.8903 6.8903 6.8903 Å, 114.61 114.61 99.63°
Closest atoms and distances in Å follow each position.
Sites, in units of the cell vectors:
Mo (0.0000, 0.0000, 0.0000)  4 Rh 2.38
Pt (0.7500, 0.2500, 0.5000)  4 Rh 2.48
Pt (0.5000, 0.5000, 0.0000)  4 Rh 2.48
Rh (0.3342, 0.0157, 0.3185)  1 Mo 2.38, 1 Pt 2.48
Rh (0.2662, 0.4472, 0.1810)  1 W 2.38, 1 Pt 2.48
Rh (0.2662, 0.0852, 0.8190)  1 W 2.38, 1 Pt 2.48
Rh (0.6972, 0.0157, 0.6815)  1 Mo 2.38, 1 Pt 2.48
Rh (0.9148, 0.7338, 0.1810)  1 W 2.38, 1 Pt 2.48
Rh (0.9843, 0.3028, 0.3185)  1 Mo 2.38, 1 Pt 2.48
Rh (0.9843, 0.6658, 0.6815)  1 Mo 2.38, 1 Pt 2.48
Rh (0.5528, 0.7338, 0.8190)  1 W 2.38, 1 Pt 2.48
W (0.2500, 0.7500, 0.5000)  4 Rh 2.38

[7]
The following is a DFT calculation (PBE-GGA) of a relaxed structure of Mo4Ru5Pt.

SG = No. 12
density of states at the Fermi level = 0.85 states/eV per atom
crystal system = monoclinic
E_form = -54.0 meV per atom

Cell: 3.9339 5.4682 8.2216 Å, 119.45 103.84 90.00°
Closest atoms and distances in Å follow each position.
Sites, in units of the cell vectors:
Mo (0.7051, 0.3102, 0.4102)  7 Ru 2.69-2.79, 4 Mo 2.69-2.84, 1 Pt 2.82
Mo (0.1019, 0.8889, 0.2038)  8 Ru 2.64-2.82, 2 Pt 2.81, 2 Mo 2.84
Mo (0.2949, 0.6898, 0.5898)  7 Ru 2.69-2.79, 4 Mo 2.69-2.84, 1 Pt 2.82
Mo (0.8981, 0.1111, 0.7962)  8 Ru 2.64-2.82, 2 Pt 2.81, 2 Mo 2.84
Ru (0.3028, 0.2016, 0.6055)  7 Mo 2.68-2.77, 5 Ru 2.72-2.79
Ru (0.0997, 0.4022, 0.1995)  6 Mo 2.64-2.82, 4 Ru 2.75, 2 Pt 2.77
Ru (0.9003, 0.5978, 0.8005)  6 Mo 2.64-2.82, 4 Ru 2.75, 2 Pt 2.77
Ru (0.5000, 0.5000, 0.0000)  6 Ru 2.72-2.75, 2 Pt 2.73, 4 Mo 2.74
Ru (0.6972, 0.7984, 0.3945)  7 Mo 2.68-2.77, 5 Ru 2.72-2.79
Pt (0.5000, 0.0000, 0.0000)  6 Ru 2.73-2.77, 6 Mo 2.81-2.82

[8]
The following is a DFT calculation (PBE-GGA) of a relaxed structure of Mo9Ru4Pt11.

SG = No. 38
density of states at the Fermi level = 1.02 states/eV per atom
crystal system = orthorhombic
E_form = -135.4 meV per atom

Cell: 2.7517 12.3539 12.3539 Å, 117.06 90.00 90.00°
Closest atoms and distances in Å follow each position.
Sites, in units of the cell vectors:
Mo (0.5000, 0.6098, 0.1820)  1 Ru 2.60, 3 Mo 2.74-2.75, 8 Pt 2.78-2.86
Mo (0.5000, 0.3993, 0.8171)  1 Ru 2.66, 3 Mo 2.74-2.75, 8 Pt 2.77-2.89
Mo (0.5000, 0.1820, 0.6098)  1 Ru 2.60, 3 Mo 2.74-2.75, 8 Pt 2.78-2.86
Mo (0.5000, 0.8171, 0.3993)  1 Ru 2.66, 3 Mo 2.74-2.75, 8 Pt 2.77-2.89
Mo (0.5000, 0.7985, 0.9872)  8 Pt 2.72-2.84, 3 Mo 2.75-2.87, 1 Ru 2.76
Mo (0.5000, 0.2110, 0.0202)  1 Ru 2.64, 3 Mo 2.75-2.87, 8 Pt 2.77-2.86
Mo (0.5000, 0.9872, 0.7985)  8 Pt 2.72-2.84, 3 Mo 2.75-2.87, 1 Ru 2.76
Mo (0.5000, 0.0202, 0.2110)  1 Ru 2.64, 3 Mo 2.75-2.87, 8 Pt 2.77-2.86
Mo (0.5000, 0.4326, 0.4326)  2 Ru 2.55, 2 Mo 2.75
Ru (0.5000, 0.5883, 0.7690)  2 Mo 2.66-2.76, 6 Pt 2.73-2.84, 2 Ru 2.75
Ru (0.5000, 0.4199, 0.2209)  3 Mo 2.55-2.64, 6 Pt 2.72-2.78, 2 Ru 2.75
Ru (0.5000, 0.7690, 0.5883)  2 Mo 2.66-2.76, 6 Pt 2.73-2.84, 2 Ru 2.75
Ru (0.5000, 0.2209, 0.4199)  3 Mo 2.55-2.64, 6 Pt 2.72-2.78, 2 Ru 2.75
Pt (0.0000, 0.6043, 0.9770)  6 Mo 2.72-2.86, 4 Pt 2.73-2.75, 2 Ru 2.84
Pt (0.0000, 0.4048, 0.0191)  4 Pt 2.71-2.75, 6 Mo 2.77-2.82, 2 Ru 2.78
Pt (0.0000, 0.9770, 0.6043)  6 Mo 2.72-2.86, 4 Pt 2.73-2.75, 2 Ru 2.84
Pt (0.0000, 0.0191, 0.4048)  4 Pt 2.71-2.75, 6 Mo 2.77-2.82, 2 Ru 2.78
Pt (0.0000, 0.6143, 0.3864)  4 Ru 2.72-2.73, 2 Pt 2.75, 6 Mo 2.80-2.90
Pt (0.0000, 0.3864, 0.6143)  4 Ru 2.72-2.73, 2 Pt 2.75, 6 Mo 2.80-2.90
Pt (0.0000, 0.8130, 0.1915)  4 Pt 2.71-2.75, 8 Mo 2.81-2.89
Pt (0.0000, 0.1915, 0.8130)  4 Pt 2.71-2.75, 8 Mo 2.81-2.89
Pt (0.0000, 0.0085, 0.0085)  4 Pt 2.75-2.87, 8 Mo 2.80-2.84
Pt (0.0000, 0.7940, 0.7940)  4 Mo 2.73, 3 Pt 2.75-2.77, 4 Ru 2.78
Pt (0.0000, 0.2312, 0.2312)  3 Pt 2.75-2.87, 4 Ru 2.76, 6 Mo 2.86-2.94